Entry 1:
Computed, not measured: AgHg2I2 after structural relaxation at the GGA-PBE level of DFT.

```
AgHg2I2
1.0
7.867 0.000 0.000
0.000 7.867 0.000
0.000 0.000 5.006
Ag Hg I
2 4 4
Direct
0.000 0.000 0.000
0.500 0.500 0.000
0.127 0.373 0.000
0.373 0.873 0.000
0.627 0.127 0.000
0.873 0.627 0.000
0.210 0.710 0.500
0.290 0.210 0.500
0.710 0.790 0.500
0.790 0.290 0.500
```

- energy relative to the lowest polymorph listed for this composition (eV per atom) = 0.2605
- ΔE_f (raw) (kJ per mole of atoms) = 15

---

Entry 2:
Computed, not measured: Zn2MoRh after structural relaxation at the GGA-PBE level of DFT.

```
Zn2MoRh
1.0
9.014 0.000 0.000
0.000 2.781 0.000
-0.976 0.000 4.686
Zn Mo Rh
4 2 2
Direct
0.246 0.000 0.242
0.254 0.500 0.758
0.746 0.500 0.242
0.754 0.000 0.758
0.000 0.000 0.500
0.500 0.500 0.500
0.000 0.500 0.000
0.500 0.000 0.000
```

- calculated formation energy (eV per atom) = 0.004
- energy relative to the lowest polymorph listed for this composition (eV per atom) = 0.1587